# MgAg2Hg, PBEsol geometry, DFT SCAN
data_MgAg2Hg
_chemical_formula_sum 'Mg1 Ag2 Hg1'
_space_group_name_H-M_alt 'P 4 m m'
_space_group_IT_number 99
_cell_length_a 3.4492
_cell_length_b 3.4492
_cell_length_c 6.1093
_cell_angle_alpha 90.00
_cell_angle_beta 90.00
_cell_angle_gamma 90.00
loop_
_space_group_symop_operation_xyz
'x,y,z'
'-y,x,z'
'-x,-y,z'
'y,-x,z'
'-x,y,z'
'y,x,z'
'x,-y,z'
'-y,-x,z'
loop_
_atom_site_label
_atom_site_type_symbol
_atom_site_fract_x
_atom_site_fract_y
_atom_site_fract_z
Mg1 Mg 0.0000 0.0000 0.0000
Ag1 Ag 0.0000 0.0000 0.4753
Ag2 Ag 0.5000 0.5000 0.2380
Hg1 Hg 0.5000 0.5000 0.7355
# Energy relative to the elements ... -158 meV per atom
# Spin magnetization ... 0.00 μB/f.u.

# Mg2AgHg, PBEsol geometry, DFT SCAN
data_Mg2AgHg
_chemical_formula_sum 'Mg2 Ag1 Hg1'
_space_group_name_H-M_alt 'P 4 m m'
_space_group_IT_number 99
_cell_length_a 3.6099
_cell_length_b 3.6099
_cell_length_c 5.9541
_cell_angle_alpha 90.00
_cell_angle_beta 90.00
_cell_angle_gamma 90.00
loop_
_space_group_symop_operation_xyz
'x,y,z'
'-y,x,z'
'-x,-y,z'
'y,-x,z'
'-x,y,z'
'y,x,z'
'x,-y,z'
'-y,-x,z'
loop_
_atom_site_label
_atom_site_type_symbol
_atom_site_fract_x
_atom_site_fract_y
_atom_site_fract_z
Mg1 Mg 0.0000 0.0000 0.0000
Mg2 Mg 0.5000 0.5000 0.2947
Ag1 Ag 0.0000 0.0000 0.5000
Hg1 Hg 0.5000 0.5000 0.7775
# Energy relative to the elements ... -234 meV per atom
# Spin magnetization ... 0.00 μB/f.u.

# MgAg2Hg, PBEsol geometry, DFT SCAN
data_MgAg2Hg
_chemical_formula_sum 'Mg2 Ag4 Hg2'
_space_group_name_H-M_alt 'I -4 m 2'
_space_group_IT_number 119
_space_group_name_Hall 'I -4 -2'
_cell_length_a 4.1288
_cell_length_b 4.1288
_cell_length_c 8.4353
_cell_angle_alpha 90.00
_cell_angle_beta 90.00
_cell_angle_gamma 90.00
loop_
_atom_site_label
_atom_site_type_symbol
_atom_site_fract_x
_atom_site_fract_y
_atom_site_fract_z
Mg1 Mg 0.0000 0.0000 0.0000
Ag1 Ag 0.0000 0.0000 0.5000
Ag2 Ag 0.0000 0.5000 0.2500
Hg1 Hg 0.0000 0.5000 0.7500
# Energy relative to the elements ... -164 meV per atom
# Spin magnetization ... 0.00 μB/f.u.

# MgAg2Hg, PBEsol geometry, DFT SCAN
data_MgAg2Hg
_chemical_formula_sum 'Mg1 Ag2 Hg1'
_space_group_name_H-M_alt 'P 4/m m m'
_space_group_IT_number 123
_space_group_name_Hall '-P 4 2'
_cell_length_a 4.1633
_cell_length_b 4.1633
_cell_length_c 4.1693
_cell_angle_alpha 90.00
_cell_angle_beta 90.00
_cell_angle_gamma 90.00
loop_
_atom_site_label
_atom_site_type_symbol
_atom_site_fract_x
_atom_site_fract_y
_atom_site_fract_z
Mg1 Mg 0.0000 0.0000 0.0000
Ag1 Ag 0.0000 0.5000 0.5000
Hg1 Hg 0.5000 0.5000 0.0000
# Energy relative to the elements ... -150 meV per atom
# Spin magnetization ... 0.00 μB/f.u.

# MgAg2Hg, PBEsol geometry, DFT SCAN
data_MgAg2Hg
_chemical_formula_sum 'Mg2 Ag4 Hg2'
_space_group_name_H-M_alt 'I 4/m m m'
_space_group_IT_number 139
_space_group_name_Hall '-I 4 2'
_cell_length_a 4.1377
_cell_length_b 4.1377
_cell_length_c 8.3911
_cell_angle_alpha 90.00
_cell_angle_beta 90.00
_cell_angle_gamma 90.00
loop_
_atom_site_label
_atom_site_type_symbol
_atom_site_fract_x
_atom_site_fract_y
_atom_site_fract_z
Mg1 Mg 0.0000 0.0000 0.0000
Ag1 Ag 0.0000 0.5000 0.2500
Hg1 Hg 0.0000 0.0000 0.5000
# Energy relative to the elements ... -163 meV per atom
# Spin magnetization ... 0.00 μB/f.u.

# Mg2AgHg, PBEsol geometry, DFT SCAN
data_Mg2AgHg
_chemical_formula_sum 'Mg4 Ag2 Hg2'
_space_group_name_H-M_alt 'I m m 2'
_space_group_IT_number 44
_cell_length_a 3.4807
_cell_length_b 4.6173
_cell_length_c 9.5352
_cell_angle_alpha 90.00
_cell_angle_beta 90.00
_cell_angle_gamma 90.00
loop_
_space_group_symop_operation_xyz
'x,y,z'
'-x,-y,z'
'-x,y,z'
'x,-y,z'
'x+1/2,y+1/2,z+1/2'
'-x+1/2,-y+1/2,z+1/2'
'-x+1/2,y+1/2,z+1/2'
'x+1/2,-y+1/2,z+1/2'
loop_
_atom_site_label
_atom_site_type_symbol
_atom_site_fract_x
_atom_site_fract_y
_atom_site_fract_z
Mg1 Mg 0.0000 0.0000 0.0000
Mg2 Mg 0.0000 0.5000 0.2285
Ag1 Ag 0.0000 0.5000 0.7390
Hg1 Hg 0.0000 0.0000 0.4790
# Energy relative to the elements ... -253 meV per atom
# Spin magnetization ... 0.00 μB/f.u.

# Mg2AgHg, PBEsol geometry, DFT SCAN
data_Mg2AgHg
_chemical_formula_sum 'Mg4 Ag2 Hg2'
_space_group_name_H-M_alt 'C 1 m 1'
_space_group_IT_number 8
_cell_length_a 10.0717
_cell_length_b 3.3834
_cell_length_c 4.7426
_cell_angle_alpha 90.00
_cell_angle_beta 108.27
_cell_angle_gamma 90.00
loop_
_space_group_symop_operation_xyz
'x,y,z'
'x,-y,z'
'x+1/2,y+1/2,z'
'x+1/2,-y+1/2,z'
loop_
_atom_site_label
_atom_site_type_symbol
_atom_site_fract_x
_atom_site_fract_y
_atom_site_fract_z
Mg1 Mg 0.0000 0.0000 0.0000
Mg2 Mg 0.2292 0.0000 0.6653
Ag1 Ag 0.4887 0.0000 0.4967
Hg1 Hg 0.2479 0.5000 0.1807
# Energy relative to the elements ... -266 meV per atom
# Spin magnetization ... 0.00 μB/f.u.

# MgAg2Hg, PBEsol geometry, DFT SCAN
data_MgAg2Hg
_chemical_formula_sum 'Mg4 Ag8 Hg4'
_space_group_name_H-M_alt 'F -4 3 m'
_space_group_IT_number 216
_space_group_name_Hall 'F -4 2 3'
_cell_length_a 6.6088
_cell_length_b 6.6088
_cell_length_c 6.6088
_cell_angle_alpha 90.00
_cell_angle_beta 90.00
_cell_angle_gamma 90.00
loop_
_atom_site_label
_atom_site_type_symbol
_atom_site_fract_x
_atom_site_fract_y
_atom_site_fract_z
Mg1 Mg 0.0000 0.0000 0.0000
Ag1 Ag 0.0000 0.0000 0.5000
Ag2 Ag 0.2500 0.2500 0.7500
Hg1 Hg 0.2500 0.2500 0.2500
# Energy relative to the elements ... -153 meV per atom
# Spin magnetization ... 0.00 μB/f.u.

# MgAgHg2, PBEsol geometry, DFT SCAN
data_MgAgHg2
_chemical_formula_sum 'Mg2 Ag2 Hg4'
_space_group_name_H-M_alt 'I -4 m 2'
_space_group_IT_number 119
_space_group_name_Hall 'I -4 -2'
_cell_length_a 4.2732
_cell_length_b 4.2732
_cell_length_c 8.5334
_cell_angle_alpha 90.00
_cell_angle_beta 90.00
_cell_angle_gamma 90.00
loop_
_atom_site_label
_atom_site_type_symbol
_atom_site_fract_x
_atom_site_fract_y
_atom_site_fract_z
Mg1 Mg 0.0000 0.0000 0.0000
Ag1 Ag 0.0000 0.5000 0.2500
Hg1 Hg 0.0000 0.0000 0.5000
Hg2 Hg 0.0000 0.5000 0.7500
# Energy relative to the elements ... -122 meV per atom
# Spin magnetization ... 0.00 μB/f.u.

# MgAgHg2, PBEsol geometry, DFT SCAN
data_MgAgHg2
_chemical_formula_sum 'Mg3 Ag3 Hg6'
_space_group_name_H-M_alt 'R 3 m'
_space_group_IT_number 160
_space_group_name_Hall 'R 3 -2"'
_cell_length_a 3.2112
_cell_length_b 3.2112
_cell_length_c 27.5041
_cell_angle_alpha 90.00
_cell_angle_beta 90.00
_cell_angle_gamma 120.00
loop_
_atom_site_label
_atom_site_type_symbol
_atom_site_fract_x
_atom_site_fract_y
_atom_site_fract_z
Mg1 Mg 0.0000 0.0000 0.0000
Ag1 Ag 0.0000 0.0000 0.7432
Hg1 Hg 0.0000 0.0000 0.2502
Hg2 Hg 0.0000 0.0000 0.4924
# Energy relative to the elements ... -73 meV per atom
# Spin magnetization ... 0.00 μB/f.u.

# Mn2AgHg, PBEsol geometry, DFT SCAN
data_Mn2AgHg
_chemical_formula_sum 'Mn4 Ag2 Hg2'
_space_group_name_H-M_alt 'I -4 m 2'
_space_group_IT_number 119
_space_group_name_Hall 'I -4 -2'
_cell_length_a 3.9732
_cell_length_b 3.9732
_cell_length_c 8.1780
_cell_angle_alpha 90.00
_cell_angle_beta 90.00
_cell_angle_gamma 90.00
loop_
_atom_site_label
_atom_site_type_symbol
_atom_site_fract_x
_atom_site_fract_y
_atom_site_fract_z
Mn1 Mn 0.0000 0.0000 0.0000
Mn2 Mn 0.0000 0.5000 0.2500
Ag1 Ag 0.0000 0.0000 0.5000
Hg1 Hg 0.0000 0.5000 0.7500
# Energy relative to the elements ... 7 meV per atom
# Spin magnetization ... 8.32 μB/f.u.

# Mn2AgHg, PBEsol geometry, DFT SCAN
data_Mn2AgHg
_chemical_formula_sum 'Mn2 Ag1 Hg1'
_space_group_name_H-M_alt 'P 4 m m'
_space_group_IT_number 99
_cell_length_a 3.0772
_cell_length_b 3.0772
_cell_length_c 6.5466
_cell_angle_alpha 90.00
_cell_angle_beta 90.00
_cell_angle_gamma 90.00
loop_
_space_group_symop_operation_xyz
'x,y,z'
'-y,x,z'
'-x,-y,z'
'y,-x,z'
'-x,y,z'
'y,x,z'
'x,-y,z'
'-y,-x,z'
loop_
_atom_site_label
_atom_site_type_symbol
_atom_site_fract_x
_atom_site_fract_y
_atom_site_fract_z
Mn1 Mn 0.0000 0.0000 0.0000
Mn2 Mn 0.5000 0.5000 0.1682
Ag1 Ag 0.0000 0.0000 0.4259
Hg1 Hg 0.5000 0.5000 0.7233
# Energy relative to the elements ... -29 meV per atom
# Spin magnetization ... 0.09 μB/f.u.

# Mn2AgHg, PBEsol geometry, DFT SCAN
data_Mn2AgHg
_chemical_formula_sum 'Mn2 Ag1 Hg1'
_space_group_name_H-M_alt 'P m m m'
_space_group_IT_number 47
_cell_length_a 2.9937
_cell_length_b 3.6876
_cell_length_c 5.8954
_cell_angle_alpha 90.00
_cell_angle_beta 90.00
_cell_angle_gamma 90.00
loop_
_space_group_symop_operation_xyz
'x,y,z'
'-x,-y,-z'
'-x,-y,z'
'x,y,-z'
'x,-y,-z'
'-x,y,z'
'-x,y,-z'
'x,-y,z'
loop_
_atom_site_label
_atom_site_type_symbol
_atom_site_fract_x
_atom_site_fract_y
_atom_site_fract_z
Mn1 Mn 0.0000 0.0000 0.2423
Ag1 Ag 0.5000 0.5000 0.0000
Hg1 Hg 0.5000 0.5000 0.5000
# Energy relative to the elements ... -45 meV per atom
# Spin magnetization ... 8.22 μB/f.u.

# MnAgHgP2, PBEsol geometry, DFT SCAN
data_MnAgHgP2
_chemical_formula_sum 'Mn1 Ag1 Hg1 P2'
_space_group_name_H-M_alt 'P 4/m m m'
_space_group_IT_number 123
_space_group_name_Hall '-P 4 2'
_cell_length_a 4.8739
_cell_length_b 4.8739
_cell_length_c 4.9598
_cell_angle_alpha 90.00
_cell_angle_beta 90.00
_cell_angle_gamma 90.00
loop_
_atom_site_label
_atom_site_type_symbol
_atom_site_fract_x
_atom_site_fract_y
_atom_site_fract_z
Mn1 Mn 0.0000 0.0000 0.0000
Ag1 Ag 0.5000 0.5000 0.0000
Hg1 Hg 0.0000 0.0000 0.5000
P1 P 0.0000 0.5000 0.5000
# Energy relative to the elements ... 1189 meV per atom
# Spin magnetization ... 4.44 μB/f.u.